Here is CeHo4Ga5 after structural relaxation from the Alexandria database. Energies are from PBE. Values from VASP.

- space group = P4/mmm
- total magnetic moment (μB per cell) = 0.59
- energy relative to the elements (eV/atom) = -0.559
- VASP energy (eV/atom) = -4.497

Geometry as Quantum ESPRESSO input:
```
&SYSTEM
  ibrav = 0, nat = 10, ntyp = 3
/
ATOMIC_SPECIES
Ho 164.93 Ho.upf
Ga 69.72 Ga.upf
Ce 140.12 Ce.upf
ATOMIC_POSITIONS crystal
Ho 0.000 0.000 0.402
Ho 0.000 0.000 0.795
Ho 0.000 0.000 0.598
Ho 0.000 0.000 0.205
Ga 0.500 0.500 0.304
Ga 0.500 0.500 0.500
Ga 0.500 0.500 0.696
Ga 0.500 0.500 0.108
Ga 0.500 0.500 0.892
Ce 0.000 0.000 0.000
CELL_PARAMETERS angstrom
3.532 0.000 0.000
0.000 3.532 0.000
0.000 0.000 18.237
```

Here is NiP2C after structural relaxation from the Alexandria database. Energies are from PBE. Values from VASP.

- space group = I-42d
- total magnetic moment (μB per cell) = 0.00
- energy relative to the elements (eV/atom) = 0.133
- VASP energy (eV/atom) = -6.323

Geometry as Quantum ESPRESSO input:
```
&SYSTEM
  ibrav = 0, nat = 8, ntyp = 3
/
ATOMIC_SPECIES
P 30.97 P.upf
Ni 58.69 Ni.upf
C 12.01 C.upf
ATOMIC_POSITIONS crystal
P 0.375 0.419 0.750
P 0.875 0.831 0.750
P 0.581 0.125 0.250
P 0.169 0.625 0.250
Ni 0.750 0.250 0.500
Ni 0.000 0.000 0.000
C 0.250 0.750 0.500
C 0.500 0.500 0.000
CELL_PARAMETERS angstrom
-3.755 1.468 2.756
-2.836 -3.407 -2.050
-2.167 -3.713 3.351
```

Here is Fe2TcPt after structural relaxation from the Alexandria database. Energies are from PBE. Values from VASP.

- space group = Cm
- offset from the most stable computed form (kJ/mol of atoms) = 4.1
- total magnetic moment (μB per cell) = 4.34
- energy relative to the elements (eV/atom) = -0.008
- VASP energy (eV/atom) = -8.341

Geometry as Quantum ESPRESSO input:
```
&SYSTEM
  ibrav = 0, nat = 4, ntyp = 3
/
ATOMIC_SPECIES
Fe 55.84 Fe.upf
Pt 195.08 Pt.upf
Tc 98.00 Tc.upf
ATOMIC_POSITIONS crystal
Fe 0.748 0.748 0.756
Fe 0.003 0.003 0.001
Pt 0.498 0.498 0.505
Tc 0.250 0.250 0.239
CELL_PARAMETERS angstrom
-3.664 2.787 0.420
-4.564 0.284 0.675
-0.067 0.488 4.569
```